Entry 1:
Entry from Alexandria: a geometry-optimized SrAc3S4 structure (PBE).

Cell: 6.080 6.080 6.080 Å, 90.00 90.00 90.00°
Fractional coordinates of all 8 atoms:
Ac1 0.000 0.500 0.500
Ac2 0.500 0.000 0.500
Ac3 0.500 0.500 0.000
S1 0.500 0.500 0.500
S2 0.000 0.000 0.500
S3 0.500 0.000 0.000
S4 0.000 0.500 0.000
Sr1 0.000 0.000 0.000

Results
- Space-group type: No. 221
- Formation energy (no corrections): -2024 meV per atom
- E_tot: -5.838 eV/atom
- Crystal system: cubic
- Magnetic moment: 0.0 μB per formula unit

Entry 2:
Entry from Alexandria: a geometry-optimized SrAc3S structure (PBE).

Cell: 5.948 5.948 5.948 Å, 90.00 90.00 90.00°
Fractional coordinates of all 5 atoms:
Ac1 0.000 0.500 0.000
Ac2 0.000 0.000 0.500
Ac3 0.500 0.000 0.000
S1 0.000 0.000 0.000
Sr1 0.500 0.500 0.500

Results
- Space-group type: No. 221
- Formation energy (no corrections): -695 meV per atom
- E_tot: -4.322 eV/atom
- Crystal system: cubic
- Magnetic moment: 0.0 μB per formula unit